(1)
## PrSmZn (PBE)

Data for crystalline PrSmZn at its relaxed geometry.

Calculated values
SG   F-43m (216)
Total magnetization   0.063 μB per cell
Polymorph energy (0 for the lowest one)   0.0 meV per atom

Cell lengths 5.0814, 5.0814, 5.0814 Å; angles 60.00, 60.00, 60.00 degrees
With the nearest neighbours (Å) after each atom.
Sites, in units of the cell vectors:
Pr 0.0000 0.0000 0.0000  4 Zn 3.11
Sm 0.5000 0.5000 0.5000  4 Zn 3.11
Zn 0.7500 0.7500 0.7500  4 Pr 3.11, 4 Sm 3.11

=====

(2)
## ScAgPt2 (PBE)

Data for crystalline ScAgPt2 at its relaxed geometry.

Calculated values
Calculated total energy   -5.30 eV per atom
SG   P4/mmm (123)
Total magnetization   0.224 μB per cell

Cell lengths 2.8600, 2.8600, 9.0699 Å; angles 90.00, 90.00, 90.00 degrees
With the nearest neighbours (Å) after each atom.
Sites, in units of the cell vectors:
Sc 0.0000 0.0000 0.0000  2 Pt 2.48
Ag 0.5000 0.5000 0.5000  4 Ag 2.86, 8 Pt 2.88
Pt 0.0000 0.0000 0.2738  1 Sc 2.48
Pt 0.0000 0.0000 0.7262  1 Sc 2.48

=====

(3)
## Rb4PaO5 (PBE)

Data for crystalline Rb4PaO5 at its relaxed geometry.

Calculated values
Calculated total energy   -5.63 eV per atom
SG   I4 (79)
Total magnetization   1.001 μB per cell

Cell lengths 6.7672, 6.7672, 6.7672 Å; angles 99.38, 99.38, 132.37 degrees
With the nearest neighbours (Å) after each atom.
Sites, in units of the cell vectors:
Rb 0.0969 0.6952 0.7920  5 O 2.79-2.87
Rb 0.3048 0.0969 0.4017  5 O 2.79-2.87
Rb 0.6952 0.9031 0.5983  5 O 2.79-2.87
Rb 0.9031 0.3048 0.2080  5 O 2.79-2.87
Pa 0.4725 0.4725 0.0000  5 O 2.12-2.18
O 0.0736 0.0736 0.0000  1 Pa 2.18
O 0.2751 0.4276 0.6940  1 Pa 2.12
O 0.4276 0.7336 0.1525  1 Pa 2.12
O 0.5811 0.2751 0.8475  1 Pa 2.12
O 0.7336 0.5811 0.3060  1 Pa 2.12

=====

(4)
## DyErZn2As2O2 (PBE)

Data for crystalline DyErZn2As2O2 at its relaxed geometry.

Calculated values
Calculated total energy   -5.70 eV per atom
SG   P4mm (99)
Total magnetization   0.003 μB per cell

Cell lengths 3.9307, 3.9307, 8.8640 Å; angles 90.00, 90.00, 90.00 degrees
With the nearest neighbours (Å) after each atom.
Sites, in units of the cell vectors:
Dy 0.0000 0.0000 0.0000  4 O 2.25
Er 0.5000 0.5000 0.7566  4 O 2.23
Zn 0.0000 0.5000 0.3775  4 As 2.55-2.56, 4 Zn 2.78
Zn 0.5000 0.0000 0.3775  4 As 2.55-2.56, 4 Zn 2.78
As 0.0000 0.0000 0.5616  4 Zn 2.55
As 0.5000 0.5000 0.1925  4 Zn 2.56
O 0.0000 0.5000 0.8757  2 Er 2.23, 2 Dy 2.25
O 0.5000 0.0000 0.8757  2 Er 2.23, 2 Dy 2.25